Record 1
Compound: La2YNi
Source: the Alexandria database
Functional: meta-GGA SCAN
Structure: single point on PBEsol structure

Cell: 7.259 7.259 7.259 Å, 90.00 90.00 90.00°
Fractional positions:
La 0.000 0.000 0.000
La 0.000 0.500 0.500
La 0.250 0.250 0.250
La 0.250 0.750 0.750
La 0.500 0.000 0.500
La 0.500 0.500 0.000
La 0.750 0.250 0.750
La 0.750 0.750 0.250
Y 0.000 0.000 0.500
Y 0.000 0.500 0.000
Y 0.500 0.000 0.000
Y 0.500 0.500 0.500
Ni 0.250 0.250 0.750
Ni 0.250 0.750 0.250
Ni 0.750 0.250 0.250
Ni 0.750 0.750 0.750

Values from the calculation:
Formation energy from the elements ... 0.226 eV per atom
DOS(E_F) ... 6.039 states/eV/f.u.

Record 2
Compound: La2ZnNi2
Source: the Alexandria database
Functional: meta-GGA SCAN
Structure: single point on PBEsol structure

Cell: 4.319 5.398 8.367 Å, 90.00 90.00 90.00°
Fractional positions:
La 0.000 0.000 0.197
La 0.000 0.000 0.803
La 0.500 0.500 0.303
La 0.500 0.500 0.697
Zn 0.000 0.500 0.000
Zn 0.500 0.000 0.500
Ni 0.000 0.254 0.500
Ni 0.000 0.746 0.500
Ni 0.500 0.246 0.000
Ni 0.500 0.754 0.000

Values from the calculation:
Formation energy from the elements ... -0.347 eV per atom
DOS(E_F) ... 3.464 states/eV/f.u.

Record 3
Compound: LaZn2Ni3
Source: the Alexandria database
Functional: meta-GGA SCAN
Structure: single point on PBEsol structure

Cell: 5.178 5.178 3.847 Å, 90.00 90.00 120.00°
Fractional positions:
La 0.000 0.000 0.000
Zn 0.333 0.667 0.000
Zn 0.667 0.333 0.000
Ni 0.000 0.500 0.500
Ni 0.500 0.000 0.500
Ni 0.500 0.500 0.500

Values from the calculation:
Formation energy from the elements ... -0.344 eV per atom
DOS(E_F) ... 2.717 states/eV/f.u.

Record 4
Compound: LaZnNi
Source: the Alexandria database
Functional: meta-GGA SCAN
Structure: single point on PBEsol structure

Cell: 7.113 7.113 3.891 Å, 90.00 90.00 120.00°
Fractional positions:
La 0.000 0.417 0.000
La 0.417 0.000 0.000
La 0.583 0.583 0.000
Zn 0.000 0.772 0.500
Zn 0.228 0.228 0.500
Zn 0.772 0.000 0.500
Ni 0.000 0.000 0.000
Ni 0.333 0.667 0.500
Ni 0.667 0.333 0.500

Values from the calculation:
Formation energy from the elements ... -0.374 eV per atom
DOS(E_F) ... 2.067 states/eV/f.u.
Energy relative to the lowest polymorph listed for this composition ... 0.000 eV/atom

Record 5
Compound: LaZn2Ni
Source: the Alexandria database
Functional: meta-GGA SCAN
Structure: single point on PBEsol structure

Cell: 4.253 4.253 14.506 Å, 90.00 90.00 120.00°
Fractional positions:
La 0.000 0.000 0.000
La 0.333 0.667 0.667
La 0.667 0.333 0.333
Zn 0.000 0.000 0.517
Zn 0.000 0.000 0.798
Zn 0.333 0.667 0.184
Zn 0.333 0.667 0.465
Zn 0.667 0.333 0.132
Zn 0.667 0.333 0.851
Ni 0.000 0.000 0.189
Ni 0.333 0.667 0.856
Ni 0.667 0.333 0.522

Values from the calculation:
Formation energy from the elements ... -0.359 eV per atom
DOS(E_F) ... 2.960 states/eV/f.u.

Record 6
Compound: LaZnNi
Source: the Alexandria database
Functional: meta-GGA SCAN
Structure: single point on PBEsol structure

Cell: 4.240 4.240 3.849 Å, 90.00 90.00 120.00°
Fractional positions:
La 0.000 0.000 0.000
Zn 0.667 0.333 0.500
Ni 0.333 0.667 0.500

Values from the calculation:
Formation energy from the elements ... -0.356 eV per atom
DOS(E_F) ... 1.893 states/eV/f.u.
Energy relative to the lowest polymorph listed for this composition ... 0.018 eV/atom

Record 7
Compound: LaZnNi
Source: the Alexandria database
Functional: meta-GGA SCAN
Structure: single point on PBEsol structure

Cell: 6.645 6.645 6.645 Å, 90.00 90.00 90.00°
Fractional positions:
La 0.000 0.000 0.000
La 0.000 0.500 0.500
La 0.500 0.000 0.500
La 0.500 0.500 0.000
Zn 0.250 0.250 0.750
Zn 0.250 0.750 0.250
Zn 0.750 0.250 0.250
Zn 0.750 0.750 0.750
Ni 0.250 0.250 0.250
Ni 0.250 0.750 0.750
Ni 0.750 0.250 0.750
Ni 0.750 0.750 0.250

Values from the calculation:
Formation energy from the elements ... 0.435 eV per atom
DOS(E_F) ... 3.094 states/eV/f.u.
Energy relative to the lowest polymorph listed for this composition ... 0.809 eV/atom

Record 8
Compound: LaZnNi2
Source: the Alexandria database
Functional: meta-GGA SCAN
Structure: single point on PBEsol structure

Cell: 3.159 3.159 6.354 Å, 90.00 90.00 90.00°
Fractional positions:
La 0.000 0.000 0.000
Zn 0.000 0.000 0.500
Ni 0.500 0.500 0.311
Ni 0.500 0.500 0.689

Values from the calculation:
Formation energy from the elements ... -0.071 eV per atom
DOS(E_F) ... 2.212 states/eV/f.u.

no.,electronic total energy (eV/atom),magnetic moment (μB/cell)
1,-32.330,0.004
2,-26.761,0.000
3,-20.120,0.000
4,-24.638,0.000
5,-21.936,0.000
6,-24.620,0.000
7,-23.829,0.000
8,-22.313,0.000